*i*
Material: NaMgTlHg
Method: DFT, PBE
State: optimized geometry

It has space group F-43m (No. 216), with a = 7.407 Å, b = 7.407 Å, c = 7.407 Å, α = 90.00°, β = 90.00° and γ = 90.00°. The asymmetric unit holds Na at (0.000, 0.000, 0.000), Mg at (0.250, 0.250, 0.250), Tl at (0.000, 0.000, 0.500) and Hg at (0.250, 0.250, 0.750).

For the calculated volume, the calculation gives 25.4 Å³/atom.

*ii*
Material: NaMgTlHg
Method: DFT, PBE
State: optimized geometry

It has space group F-43m (No. 216), with a = 7.319 Å, b = 7.319 Å, c = 7.319 Å, α = 90.00°, β = 90.00° and γ = 90.00°. The asymmetric unit holds Na at (0.000, 0.000, 0.000), Mg at (0.000, 0.000, 0.500), Tl at (0.250, 0.250, 0.250) and Hg at (0.250, 0.250, 0.750).

For the calculated volume, the calculation gives 24.5 Å³/atom.

Computed stability ranking, most favorable first: *ii*, *i*

*i*
Material: MgNiHgPb
Method: DFT, PBE
State: optimized geometry

It has space group F-43m (No. 216), with a = 6.930 Å, b = 6.930 Å, c = 6.930 Å, α = 90.00°, β = 90.00° and γ = 90.00°. The asymmetric unit holds Mg at (0.000, 0.000, 0.000), Ni at (0.250, 0.250, 0.250), Hg at (0.250, 0.250, 0.750) and Pb at (0.000, 0.000, 0.500).

For the calculated volume, the calculation gives 20.8 Å³/atom.

*ii*
Material: MgNiHgPb
Method: DFT, PBE
State: optimized geometry

It has space group F-43m (No. 216), with a = 6.828 Å, b = 6.828 Å, c = 6.828 Å, α = 90.00°, β = 90.00° and γ = 90.00°. The asymmetric unit holds Mg at (0.000, 0.000, 0.000), Ni at (0.000, 0.000, 0.500), Hg at (0.250, 0.250, 0.750) and Pb at (0.250, 0.250, 0.250).

For the calculated volume, the calculation gives 19.9 Å³/atom.

Computed stability ranking, most favorable first: *ii*, *i*

*i*
Material: MgNiHgS3
Method: DFT, PBE
State: optimized geometry

It has space group Cmcm (No. 63), with a = 3.414 Å, b = 14.050 Å, c = 11.743 Å, α = 90.00°, β = 90.00° and γ = 90.00°. The asymmetric unit holds Mg at (0.000, 0.161, 0.250), Ni at (0.000, 0.000, 0.000), Hg at (0.000, 0.422, 0.250), S at (0.000, 0.216, 0.750) and S at (0.000, 0.439, 0.599).

For the calculated volume, the calculation gives 23.5 Å³/atom.

*ii*
Material: MgNiHgS3
Method: DFT, PBE
State: optimized geometry

It has space group Cmcm (No. 63), with a = 3.621 Å, b = 11.639 Å, c = 11.035 Å, α = 90.00°, β = 90.00° and γ = 90.00°. The asymmetric unit holds Mg at (0.000, 0.230, 0.250), Ni at (0.000, 0.483, 0.750), Hg at (0.000, 0.000, 0.000), S at (0.000, 0.096, 0.750) and S at (0.000, 0.352, 0.598).

For the calculated volume, the calculation gives 19.4 Å³/atom.

Computed stability ranking, most favorable first: *i*, *ii*

*i*
Material: MgNiHgSe3
Method: DFT, PBE
State: optimized geometry

It has space group Cmcm (No. 63), with a = 3.601 Å, b = 13.654 Å, c = 11.451 Å, α = 90.00°, β = 90.00° and γ = 90.00°. The asymmetric unit holds Mg at (0.000, 0.173, 0.250), Ni at (0.000, 0.000, 0.000), Hg at (0.000, 0.462, 0.250), Se at (0.000, 0.190, 0.750) and Se at (0.000, 0.401, 0.567).

For the calculated volume, the calculation gives 23.5 Å³/atom.

*ii*
Material: MgNiHgSe3
Method: DFT, PBE
State: optimized geometry

It has space group Cmcm (No. 63), with a = 3.749 Å, b = 13.657 Å, c = 9.725 Å, α = 90.00°, β = 90.00° and γ = 90.00°. The asymmetric unit holds Mg at (0.000, 0.249, 0.250), Ni at (0.000, 0.035, 0.750), Hg at (0.000, 0.500, 0.000), Se at (0.000, 0.167, 0.589) and Se at (0.000, 0.419, 0.750).

For the calculated volume, the calculation gives 20.7 Å³/atom.

Computed stability ranking, most favorable first: *i*, *ii*